Here is an optimized crystal structure of WN from Alexandria via LeMat-Bulk. Energies are from GGA-PBE.

CIF file:
```
data_WN
_cell_length_a 3.885
_cell_length_b 2.940
_cell_length_c 4.296
_cell_angle_alpha 89.99
_cell_angle_beta 79.22
_cell_angle_gamma 112.23
_space_group_name_H-M_alt 'P 1'
_space_group_IT_number 1
loop_
_space_group_symop_operation_xyz
'x,y,z'
loop_
_atom_site_label
_atom_site_type_symbol
_atom_site_fract_x
_atom_site_fract_y
_atom_site_fract_z
_atom_site_occupancy
W1 W 0.026 0.621 0.174 1
W2 W 0.719 0.968 0.722 1
N1 N 0.603 0.910 0.246 1
N2 N 0.266 0.241 0.827 1
```

The calculation puts the energy relative to the elements, uncorrected at -343 meV/atom. Its size of the total moment is 0.00 μB/f.u. The value obtained for the total energy is -10.982 eV per atom. The value obtained for the density of states at the Fermi level is 0.97 states/eV/cell.